Computed, not measured: crystalline TbNd3Hg4 at its relaxed geometry at the GGA-PBE level of DFT.

Output
Volume: 242.59 Å³/f.u.
Calculated formation energy: -0.33 eV/atom
Fermi-level density of states: 7.1 states/eV/f.u.
Density: 9.5 g/cm3

a b c (Å): 3.8641 7.7026 9.2186
angles (deg): 114.68 102.10 90.00
With the nearest neighbours (Å) after each atom.
Element x y z (fractional)
1 Nd 0.2012 0.2010 0.4024  6 Hg 3.18-3.21
2 Hg 0.6292 0.4245 0.2585  1 Tb 3.10, 1 Hg 3.15, 5 Nd 3.18-3.26
3 Nd 0.7988 0.7990 0.5976  6 Hg 3.18-3.21
4 Hg 0.3709 0.1665 0.7419  1 Tb 3.10, 1 Hg 3.15, 5 Nd 3.18-3.26
5 Nd 0.0000 0.5000 0.0000  8 Hg 3.26
6 Hg 0.6291 0.8335 0.2581  1 Tb 3.10, 1 Hg 3.15, 5 Nd 3.18-3.26
7 Tb 0.5000 0.0000 0.0000  4 Hg 3.10
8 Hg 0.3708 0.5755 0.7415  1 Tb 3.10, 1 Hg 3.15, 5 Nd 3.18-3.26


Computed, not measured: crystalline Y2B4Ru at its relaxed geometry at the GGA-PBE level of DFT.

Output
Volume: 104.74 Å³/f.u.
Calculated formation energy: 0.12 eV/atom
Fermi-level density of states: 2.9 states/eV/f.u.
Density: 5.1 g/cm3

a b c (Å): 3.9868 3.9868 7.1675
angles (deg): 73.85 73.85 90.00
With the nearest neighbours (Å) after each atom.
Element x y z (fractional)
1 B 0.8382 0.8382 0.3235  1 Ru 2.13
2 Ru 0.0000 0.0000 0.0000  6 B 1.99-2.13
3 B 0.5000 0.0000 0.0000  2 Ru 1.99
4 Y 0.6470 0.6470 0.7060  5 B 2.52-2.78
5 Y 0.3530 0.3530 0.2940  5 B 2.52-2.78
6 B 0.0000 0.5000 0.0000  2 Ru 1.99
7 B 0.1618 0.1618 0.6765  1 Ru 2.13


Computed, not measured: crystalline KRuPb2 at its relaxed geometry at the GGA-PBE level of DFT.

Output
Volume: 103.16 Å³/f.u.
Calculated formation energy: 0.76 eV/atom
Fermi-level density of states: 5.5 states/eV/f.u.
Density: 8.9 g/cm3

a b c (Å): 5.2643 5.2643 5.2643
angles (deg): 60.00 60.00 60.00
With the nearest neighbours (Å) after each atom.
Element x y z (fractional)
1 Pb 0.0000 0.0000 0.0000  4 Pb 3.22, 4 Ru 3.22
2 Pb 0.2500 0.2500 0.2500  4 Pb 3.22, 4 K 3.22
3 Ru 0.7500 0.7500 0.7500  4 K 3.22, 4 Pb 3.22
4 K 0.5000 0.5000 0.5000  4 Ru 3.22, 4 Pb 3.22


Computed, not measured: crystalline HoErGaCo at its relaxed geometry at the GGA-PBE level of DFT.

Output
Volume: 85.02 Å³/f.u.
Calculated formation energy: -0.40 eV/atom
Fermi-level density of states: 3.1 states/eV/f.u.
Density: 9.0 g/cm3

a b c (Å): 3.8393 4.2223 5.5847
angles (deg): 90.00 110.10 90.00
With the nearest neighbours (Å) after each atom.
Element x y z (fractional)
1 Co 0.4348 0.0000 0.8696  2 Ga 2.52
2 Ho 0.1418 0.0000 0.2835  3 Co 2.90-3.07, 4 Ga 2.96
3 Ga 0.5654 0.5000 0.1308  2 Co 2.52
4 Er 0.8580 0.5000 0.7160  3 Ga 2.90-3.07, 4 Co 2.96


Computed, not measured: crystalline Ba3Cu at its relaxed geometry at the GGA-PBE level of DFT.

Output
Volume: 198.86 Å³/f.u.
Calculated formation energy: 0.25 eV/atom
Fermi-level density of states: 5.8 states/eV/f.u.
Density: 4.0 g/cm3

a b c (Å): 4.9971 5.7778 6.8874
angles (deg): 90.00 90.00 90.00
With the nearest neighbours (Å) after each atom.
Element x y z (fractional)
1 Cu 0.0000 0.5000 0.2725  4 Ba 3.29-3.52
2 Ba 0.0000 0.0000 0.9801  2 Cu 3.52, 4 Ba 3.82
3 Ba 0.5000 0.0000 0.4531  4 Cu 4.02, 6 Ba 4.11-4.45
4 Ba 0.5000 0.5000 0.9609  2 Cu 3.29


Computed, not measured: crystalline Hf2ZrBi at its relaxed geometry at the GGA-PBE level of DFT.

Output
Volume: 101.79 Å³/f.u.
Calculated formation energy: 0.44 eV/atom
Fermi-level density of states: 4.5 states/eV/f.u.
Density: 10.7 g/cm3

a b c (Å): 8.2901 8.2901 6.5680
angles (deg): 50.87 50.87 90.00
With the nearest neighbours (Å) after each atom.
Element x y z (fractional)
1 Zr 0.2500 0.7500 0.5000  2 Bi 2.96, 4 Hf 3.11
2 Hf 0.1103 0.6250 0.2500  2 Bi 2.94, 2 Hf 2.97, 2 Zr 3.11
3 Bi 0.7500 0.2500 0.5000  4 Hf 2.94, 2 Zr 2.96
4 Hf 0.8750 0.8897 0.7500  2 Bi 2.94, 2 Hf 2.97, 2 Zr 3.11
5 Bi 0.0000 0.0000 0.0000  4 Hf 2.94, 2 Zr 2.96
6 Hf 0.6397 0.1250 0.2500  2 Bi 2.94, 2 Hf 2.97, 2 Zr 3.11
7 Zr 0.5000 0.5000 0.0000  2 Bi 2.96, 4 Hf 3.11
8 Hf 0.3750 0.3603 0.7500  2 Bi 2.94, 2 Hf 2.97, 2 Zr 3.11


Computed, not measured: crystalline Nd3ErSb3 at its relaxed geometry at the GGA-PBE level of DFT.

Output
Formation energy from raw total energies: -0.931 eV per atom
Volume: 229.19 Å³/f.u.
Fermi-level density of states: 4.9 states/eV/f.u.
Density: 7.0 g/cm3

a b c (Å): 9.1603 9.1603 8.2315
angles (deg): 56.19 56.19 60.00
With the nearest neighbours (Å) after each atom.
Element x y z (fractional)
1 Sb 0.9271 0.3079 0.2346  5 Nd 3.14-3.34, 2 Er 3.16-3.24
2 Sb 0.4696 0.0729 0.7654  5 Nd 3.14-3.34, 2 Er 3.16-3.24
3 Sb 0.5304 0.9271 0.2346  5 Nd 3.14-3.34, 2 Er 3.16-3.24
4 Sb 0.3079 0.5304 0.2346  5 Nd 3.14-3.34, 2 Er 3.16-3.24
5 Nd 0.8218 0.0926 0.7385  5 Sb 3.14-3.34
6 Nd 0.0926 0.3471 0.7385  5 Sb 3.14-3.34
7 Nd 0.6529 0.1782 0.2615  5 Sb 3.14-3.34
8 Nd 0.9074 0.6529 0.2615  5 Sb 3.14-3.34
9 Nd 0.1782 0.9074 0.2615  5 Sb 3.14-3.34
10 Nd 0.3471 0.8218 0.7385  5 Sb 3.14-3.34
11 Er 0.3326 0.3326 0.0021  6 Sb 3.16-3.24
12 Er 0.6674 0.6674 0.9979  6 Sb 3.16-3.24
13 Sb 0.6921 0.4696 0.7654  5 Nd 3.14-3.34, 2 Er 3.16-3.24
14 Sb 0.0729 0.6921 0.7654  5 Nd 3.14-3.34, 2 Er 3.16-3.24


Computed, not measured: crystalline KIn2Ag at its relaxed geometry at the GGA-PBE level of DFT.

Output
Volume: 122.97 Å³/f.u.
Calculated formation energy: 0.05 eV/atom
Fermi-level density of states: 1.7 states/eV/f.u.
Density: 5.1 g/cm3

a b c (Å): 9.6058 9.6058 9.6058
angles (deg): 23.42 23.42 23.42
With the nearest neighbours (Å) after each atom.
Element x y z (fractional)
1 Ag 0.7500 0.7500 0.7500  6 In 2.88
2 In 0.0191 0.0191 0.0191  3 Ag 2.88
3 In 0.4809 0.4809 0.4809  3 Ag 2.88
4 K 0.2500 0.2500 0.2500  6 In 3.65, 6 K 3.90


Computed, not measured: crystalline Cs4Ac3PmTe8 at its relaxed geometry at the GGA-PBE level of DFT.

Output
Formation energy from raw total energies: -1.477 eV per atom
Volume: 730.27 Å³/f.u.
Fermi-level density of states: 0.0 states/eV/f.u.
Density: 5.4 g/cm3

a b c (Å): 9.6898 10.5828 9.6899
angles (deg): 117.27 120.00 90.00
With the nearest neighbours (Å) after each atom.
Element x y z (fractional)
1 Te 0.7729 0.3018 0.5459  1 Pm 3.23, 2 Ac 3.36
2 Cs 0.5000 0.0000 0.0000  6 Te 3.96-3.97
3 Cs 0.0000 0.0000 0.0000  6 Te 3.86
4 Cs 0.5000 0.0000 0.5000  6 Te 3.86
5 Te 0.2270 0.6982 0.9713  1 Pm 3.23, 2 Ac 3.36
6 Te 0.7347 0.7041 0.4695  3 Ac 3.34
7 Te 0.2558 0.3018 0.0287  1 Pm 3.23, 2 Ac 3.36
8 Cs 0.0000 0.0000 0.5000  6 Te 3.86
9 Te 0.2271 0.6982 0.4541  1 Pm 3.23, 2 Ac 3.36
10 Te 0.7442 0.6982 0.9713  1 Pm 3.23, 2 Ac 3.36
11 Ac 0.5000 0.5000 0.0000  6 Te 3.34-3.36
12 Ac 0.0000 0.5000 0.5000  6 Te 3.34-3.36
13 Pm 0.0000 0.5000 0.0000  6 Te 3.23
14 Te 0.2653 0.2959 0.5305  3 Ac 3.34
15 Te 0.7730 0.3018 0.0287  1 Pm 3.23, 2 Ac 3.36
16 Ac 0.5000 0.5000 0.5000  6 Te 3.34-3.36


Computed, not measured: crystalline Mn2WCl at its relaxed geometry at the GGA-PBE level of DFT.

Output
Formation energy from raw total energies: 0.175 eV per atom
Volume: 65.89 Å³/f.u.
Fermi-level density of states: 3.4 states/eV/f.u.
Density: 8.3 g/cm3

a b c (Å): 2.9640 3.0415 7.3083
angles (deg): 90.04 90.00 90.00
With the nearest neighbours (Å) after each atom.
Element x y z (fractional)
1 Cl 0.5000 0.7500 0.7500  4 Mn 2.53
2 Mn 0.0000 0.7504 0.4695  2 Cl 2.53, 4 W 2.66
3 W 0.5000 0.2500 0.2500  8 Mn 2.66, 2 W 2.96
4 Mn 0.0000 0.7496 0.0305  2 Cl 2.53, 4 W 2.66


Computed, not measured: crystalline LaPm6Se8 at its relaxed geometry at the GGA-PBE level of DFT.

Output
Formation energy from raw total energies: -1.884 eV per atom
Volume: 417.00 Å³/f.u.
Fermi-level density of states: 7.3 states/eV/f.u.
Density: 6.5 g/cm3

a b c (Å): 8.3859 8.3859 8.3859
angles (deg): 60.00 60.00 60.00
With the nearest neighbours (Å) after each atom.
Element x y z (fractional)
1 Se 0.2566 0.2566 0.7434  4 Pm 2.97, 1 La 3.04
2 Pm 0.5000 0.5000 0.0000  6 Se 2.96-2.97
3 Se 0.7434 0.2566 0.2566  4 Pm 2.97, 1 La 3.04
4 Se 0.7434 0.7434 0.2566  4 Pm 2.97, 1 La 3.04
5 Pm 0.0000 0.5000 0.0000  6 Se 2.96-2.97
6 Se 0.2500 0.2500 0.2500  6 Pm 2.96
7 Pm 0.0000 0.0000 0.5000  6 Se 2.96-2.97
8 Se 0.7434 0.2566 0.7434  4 Pm 2.97, 1 La 3.04
9 Pm 0.0000 0.5000 0.5000  6 Se 2.96-2.97
10 Se 0.2566 0.7434 0.2566  4 Pm 2.97, 1 La 3.04
11 Pm 0.5000 0.0000 0.5000  6 Se 2.96-2.97
12 La 0.0000 0.0000 0.0000  6 Se 3.04
13 Pm 0.5000 0.0000 0.0000  6 Se 2.96-2.97
14 Se 0.7500 0.7500 0.7500  6 Pm 2.96
15 Se 0.2566 0.7434 0.7434  4 Pm 2.97, 1 La 3.04


Computed, not measured: crystalline PuNpPS at its relaxed geometry at the GGA-PBE level of DFT.

Output
Formation energy from raw total energies: -1.306 eV per atom
Volume: 88.29 Å³/f.u.
Fermi-level density of states: 15.6 states/eV/f.u.
Density: 10.2 g/cm3

a b c (Å): 3.9722 3.9722 6.8567
angles (deg): 73.16 73.16 60.00
With the nearest neighbours (Å) after each atom.
Element x y z (fractional)
1 Np 0.6944 0.6944 0.9169  3 P 2.79, 3 S 2.80
2 Pu 0.1939 0.1939 0.4182  3 P 2.82, 3 S 2.82
3 S 0.9451 0.9451 0.1646  3 Np 2.80, 3 Pu 2.82
4 P 0.4430 0.4430 0.6710  3 Np 2.79, 3 Pu 2.82


Q: What is the formula in the eighth record?
A: KIn2Ag


Q: Look up the volume of the eighth one.
A: 122.97 Å³/f.u.


Q: Which value of Fermi-level density of states does entry 4 give?
A: 3.1 states/eV/f.u.


Q: Number 1 is which compound?
A: TbNd3Hg4